Record 1
{
  "formula": "CoC",
  "functional": "GGA-PBEsol",
  "state": "relaxed",
  "lattice_angstrom": [[2.6417, 0.0000, 0.0000], [0.0000, 2.6417, 0.0000], [0.0000, 0.0000, 2.6669]],
  "species": ["Co", "C"],
  "fractional_positions": [[0.0000, 0.0000, 0.0000], [0.5000, 0.5000, 0.0000]],
  "space_group": "P4/mmm, No. 123",
  "final_energy_ev_per_cell": -15.36,
  "ef_ev_per_atom": 1.009
}

Record 2
{
  "formula": "CoC",
  "functional": "GGA-PBEsol",
  "state": "relaxed",
  "lattice_angstrom": [[4.0335, 0.0000, 0.0000], [-2.0167, 3.4931, 0.0000], [0.0000, 0.0000, 5.0359]],
  "species": ["Co", "Co", "Co", "Co", "C", "C", "C", "C"],
  "fractional_positions": [[0.0000, 0.0000, 0.2500], [0.0000, 0.0000, 0.7500], [0.3333, 0.6667, 0.2500], [0.6667, 0.3333, 0.7500], [0.3333, 0.6667, 0.6187], [0.3333, 0.6667, 0.8813], [0.6667, 0.3333, 0.1187], [0.6667, 0.3333, 0.3813]],
  "space_group": "P6_3/mmc, No. 194",
  "final_energy_ev_per_cell": -60.02,
  "ef_ev_per_atom": 1.188
}

Record 3
{
  "formula": "Co2C",
  "functional": "GGA-PBEsol",
  "state": "relaxed",
  "lattice_angstrom": [[1.4140, -5.0664, 0.0000], [1.4140, 5.0664, 0.0000], [0.0000, 0.0000, 3.8340]],
  "species": ["Co", "Co", "Co", "Co", "C", "C"],
  "fractional_positions": [[0.0559, 0.9441, 0.7500], [0.2970, 0.7030, 0.7500], [0.7030, 0.2970, 0.2500], [0.9441, 0.0559, 0.2500], [0.3325, 0.6675, 0.2500], [0.6675, 0.3325, 0.7500]],
  "space_group": "Cmcm, No. 63",
  "relative_energy_ev_per_atom": 0.000,
  "final_energy_ev_per_cell": -48.89,
  "ef_ev_per_atom": 0.225
}

Record 4
{
  "formula": "CoC",
  "functional": "GGA-PBEsol",
  "state": "relaxed",
  "lattice_angstrom": [[4.9499, 0.0000, 0.0000], [-2.4750, 4.2868, 0.0000], [0.0000, 0.0000, 2.3944]],
  "species": ["Co", "Co", "Co", "C", "C", "C"],
  "fractional_positions": [[0.0000, 0.0000, 0.0000], [0.3333, 0.6667, 0.5000], [0.6667, 0.3333, 0.5000], [0.0000, 0.3647, 0.0000], [0.3647, 0.0000, 0.0000], [0.6353, 0.6353, 0.0000]],
  "space_group": "P-62m, No. 189",
  "final_energy_ev_per_cell": -47.26,
  "ef_ev_per_atom": 0.813
}

Record 5
{
  "formula": "CoC",
  "functional": "GGA-PBEsol",
  "state": "relaxed",
  "lattice_angstrom": [[3.8149, 0.0000, 0.0000], [0.0000, 3.8149, 0.0000], [0.0000, 0.0000, 3.8221]],
  "species": ["Co", "Co", "Co", "C", "C", "C"],
  "fractional_positions": [[0.0000, 0.0000, 0.0000], [0.0000, 0.5000, 0.5000], [0.5000, 0.0000, 0.5000], [0.0000, 0.0000, 0.5000], [0.0000, 0.5000, 0.0000], [0.5000, 0.0000, 0.0000]],
  "space_group": "P4/mmm, No. 123",
  "final_energy_ev_per_cell": -46.38,
  "ef_ev_per_atom": 0.960
}

Record 6
{
  "formula": "Co4C",
  "functional": "GGA-PBEsol",
  "state": "relaxed",
  "lattice_angstrom": [[-3.0367, 3.0367, 1.2208], [3.0367, -3.0367, 1.2208], [3.0367, 3.0367, -1.2208]],
  "species": ["Co", "Co", "Co", "Co", "C"],
  "fractional_positions": [[0.0699, 0.2631, 0.3330], [0.2631, 0.9301, 0.1931], [0.7369, 0.0699, 0.8069], [0.9301, 0.7369, 0.6670], [0.5000, 0.5000, 0.0000]],
  "space_group": "I4/m, No. 87",
  "final_energy_ev_per_cell": -39.45,
  "ef_ev_per_atom": 0.229
}

Record 7
{
  "formula": "CoC2",
  "functional": "GGA-PBEsol",
  "state": "relaxed",
  "lattice_angstrom": [[4.5887, 0.0000, 0.0000], [-2.2943, 3.9739, 0.0000], [0.0000, 0.0000, 4.4349]],
  "species": ["Co", "Co", "Co", "C", "C", "C", "C", "C", "C"],
  "fractional_positions": [[0.0000, 0.0000, 0.0000], [0.3333, 0.6667, 0.5000], [0.6667, 0.3333, 0.5000], [0.0000, 0.3110, 0.7350], [0.0000, 0.6890, 0.2650], [0.3110, 0.0000, 0.7350], [0.3110, 0.3110, 0.2650], [0.6890, 0.0000, 0.2650], [0.6890, 0.6890, 0.7350]],
  "space_group": "P-31m, No. 162",
  "relative_energy_ev_per_atom": 0.973,
  "final_energy_ev_per_cell": -65.86,
  "ef_ev_per_atom": 1.691
}

Record 8
{
  "formula": "CrCoC3",
  "functional": "GGA-PBEsol",
  "state": "relaxed",
  "lattice_angstrom": [[3.6538, 0.0000, 0.0000], [0.0000, 3.6538, 0.0000], [0.0000, 0.0000, 3.6538]],
  "species": ["Cr", "Co", "C", "C", "C"],
  "fractional_positions": [[0.0000, 0.0000, 0.0000], [0.5000, 0.5000, 0.5000], [0.0000, 0.5000, 0.5000], [0.5000, 0.0000, 0.5000], [0.5000, 0.5000, 0.0000]],
  "space_group": "Pm-3m, No. 221",
  "final_energy_ev_per_cell": -36.88,
  "ef_ev_per_atom": 2.005
}

Record 9
{
  "formula": "Cr2Co2C",
  "functional": "GGA-PBEsol",
  "state": "relaxed",
  "lattice_angstrom": [[-1.4506, 1.4506, 6.2490], [1.4506, -1.4506, 6.2490], [1.4506, 1.4506, -6.2490]],
  "species": ["Cr", "Cr", "Co", "Co", "C"],
  "fractional_positions": [[0.0830, 0.0830, 0.0000], [0.9170, 0.9170, 0.0000], [0.2500, 0.7500, 0.5000], [0.7500, 0.2500, 0.5000], [0.5000, 0.5000, 0.0000]],
  "space_group": "I4/mmm, No. 139",
  "final_energy_ev_per_cell": -41.06,
  "ef_ev_per_atom": 0.908
}

Record 10
{
  "formula": "Ta6Cr3Co3C2",
  "functional": "GGA-PBEsol",
  "state": "relaxed",
  "lattice_angstrom": [[-3.9790, 3.9943, 5.6501], [3.9790, -3.9943, 5.6501], [3.9790, 3.9943, -5.6501]],
  "species": ["Ta", "Ta", "Ta", "Ta", "Ta", "Ta", "Ta", "Ta", "Ta", "Ta", "Ta", "Ta", "Cr", "Cr", "Cr", "Cr", "Cr", "Cr", "Co", "Co", "Co", "Co", "Co", "Co", "C", "C", "C", "C"],
  "fractional_positions": [[0.0000, 0.0000, 0.0000], [0.0002, 0.0004, 0.6102], [0.0002, 0.3900, 0.9998], [0.2491, 0.1412, 0.5005], [0.2491, 0.7485, 0.1079], [0.2509, 0.7509, 0.5000], [0.3902, 0.0004, 0.0002], [0.3902, 0.3900, 0.3898], [0.3918, 0.3918, 0.0000], [0.6406, 0.1412, 0.8921], [0.6406, 0.7485, 0.4995], [0.6434, 0.1434, 0.5000], [0.0245, 0.3704, 0.6541], [0.3240, 0.5743, 0.7497], [0.7163, 0.3704, 0.3459], [0.8208, 0.0677, 0.2469], [0.8208, 0.5740, 0.7531], [0.8246, 0.5743, 0.2503], [0.0251, 0.3712, 0.3461], [0.0251, 0.6791, 0.6539], [0.6183, 0.4638, 0.8456], [0.6183, 0.7727, 0.1544], [0.6198, 0.7705, 0.8493], [0.9213, 0.7705, 0.1507], [0.3199, 0.0700, 0.2499], [0.3201, 0.0701, 0.7499], [0.3201, 0.5702, 0.2501], [0.8202, 0.0700, 0.7501]],
  "space_group": "Imm2, No. 44",
  "final_energy_ev_per_cell": -307.41,
  "ef_ev_per_atom": -0.370
}

Record 11
{
  "formula": "CrCoTcC2",
  "functional": "GGA-PBEsol",
  "state": "relaxed",
  "lattice_angstrom": [[3.5246, 0.0000, 0.0000], [0.0000, 3.5246, 0.0000], [0.0000, 0.0000, 4.7614]],
  "species": ["Cr", "Co", "Tc", "C", "C"],
  "fractional_positions": [[0.0000, 0.0000, 0.0000], [0.0000, 0.0000, 0.5000], [0.5000, 0.5000, 0.0000], [0.0000, 0.5000, 0.5000], [0.5000, 0.0000, 0.5000]],
  "space_group": "P4/mmm, No. 123",
  "final_energy_ev_per_cell": -39.56,
  "ef_ev_per_atom": 1.795
}

Record 12
{
  "formula": "CsCo2TcC",
  "functional": "GGA-PBEsol",
  "state": "relaxed",
  "lattice_angstrom": [[4.7403, 0.0000, 0.0000], [0.0000, 4.7403, 0.0000], [0.0000, 0.0000, 3.9875]],
  "species": ["Cs", "Co", "Co", "Tc", "C"],
  "fractional_positions": [[0.0000, 0.0000, 0.0000], [0.0000, 0.5000, 0.5000], [0.5000, 0.0000, 0.5000], [0.5000, 0.5000, 0.5000], [0.5000, 0.5000, 0.0000]],
  "space_group": "P4/mmm, No. 123",
  "final_energy_ev_per_cell": -29.39,
  "ef_ev_per_atom": 1.587
}